Entry 1:
This record from Alexandria via LeMat-Bulk describes RbBa2Ga2 after structural relaxation. The functional is PBE.

Cell: 6.362 6.362 6.927 Å, 62.67 62.67 90.00°
Fractional coordinates of all 5 atoms:
Ga (0.383, 0.383, 0.233)
Ga (0.617, 0.617, 0.767)
Ba (0.750, 0.250, 0.500)
Ba (0.250, 0.750, 0.500)
Rb (0.000, 0.000, 0.000)

Summary:
energy relative to the elements = -0.12 eV per atom
offset from the most stable computed form = 17.2 meV per atom
density of states at the Fermi level = 0.8356 states/eV/atom
space-group type = I4/mmm, No. 139

---

Entry 2:
This record from Alexandria via LeMat-Bulk describes Gd2ZnIn after structural relaxation. The functional is PBE.

Cell: 3.477 3.477 11.207 Å, 81.08 81.08 60.00°
Fractional coordinates of all 4 atoms:
Zn (0.500, 0.500, 0.500)
Gd (0.098, 0.098, 0.706)
Gd (0.902, 0.902, 0.294)
In (0.000, 0.000, 0.000)

Summary:
energy relative to the elements = 0.04 eV per atom
offset from the most stable computed form = 472.1 meV per atom
density of states at the Fermi level = 0.9938 states/eV/atom
space-group type = R-3m, No. 166

---

Entry 3:
This record from Alexandria via LeMat-Bulk describes Tb5TmPu after structural relaxation. The functional is PBE.

Cell: 5.758 7.141 7.141 Å, 73.90 87.06 87.06°
Fractional coordinates of all 7 atoms:
Tb (0.962, 0.241, 0.241)
Tb (0.000, 0.311, 0.689)
Tb (0.500, 0.000, 0.000)
Tb (0.000, 0.689, 0.311)
Tb (0.038, 0.759, 0.759)
Tm (0.500, 0.500, 0.500)
Pu (0.000, 0.000, 0.000)

Summary:
energy relative to the elements = 0.88 eV per atom
density of states at the Fermi level = 1.1209 states/eV/atom
space-group type = C2/m, No. 12

---

Entry 4:
This record from Alexandria via LeMat-Bulk describes Np2TcPd after structural relaxation. The functional is PBE.

Cell: 3.250 3.250 7.536 Å, 90.00 90.00 90.00°
Fractional coordinates of all 4 atoms:
Np (0.000, 0.000, 0.764)
Np (0.000, 0.000, 0.236)
Tc (0.500, 0.500, 0.000)
Pd (0.500, 0.500, 0.500)

Summary:
energy relative to the elements = 0.06 eV per atom
offset from the most stable computed form = 0.0 meV per atom
density of states at the Fermi level = 2.7119 states/eV/atom
space-group type = P4/mmm, No. 123

---

Entry 5:
This record from Alexandria via LeMat-Bulk describes La2NdZn2Sn2 after structural relaxation. The functional is PBE.

Cell: 4.675 4.675 10.204 Å, 76.76 76.76 60.00°
Fractional coordinates of all 7 atoms:
La (0.134, 0.134, 0.598)
La (0.866, 0.866, 0.402)
Nd (0.000, 0.000, 0.000)
Zn (0.586, 0.586, 0.243)
Zn (0.414, 0.414, 0.757)
Sn (0.732, 0.732, 0.805)
Sn (0.268, 0.268, 0.195)

Summary:
energy relative to the elements = -0.42 eV per atom
density of states at the Fermi level = 0.9092 states/eV/atom
space-group type = R-3m, No. 166

---

Entry 6:
This record from Alexandria via LeMat-Bulk describes Ta2VN after structural relaxation. The functional is PBE.

Cell: 2.900 2.900 8.183 Å, 79.79 79.79 60.00°
Fractional coordinates of all 4 atoms:
N (0.500, 0.500, 0.500)
V (0.000, 0.000, 0.000)
Ta (0.108, 0.108, 0.677)
Ta (0.892, 0.892, 0.323)

Summary:
E_form (uncorrected) = -41 meV/atom
density of states at the Fermi level = 0.4567 states/eV/atom
space-group type = R-3m, No. 166